# PBE Nd2PuGe3Pd4, optimized geometry
# Total DFT energy (no corrections) (eV/atom): -6.582
# Theoretical density (g cm⁻³): 9.4
# DOS at the Fermi energy (states/eV/cell): 12.19
data_Nd2PuGe3Pd4
_cell_length_a 4.3305
_cell_length_b 4.3305
_cell_length_c 11.1368
_cell_angle_alpha 90.00
_cell_angle_beta 90.00
_cell_angle_gamma 90.00
_symmetry_space_group_name_H-M 'P -4 m 2'
_symmetry_Int_Tables_number 115
_symmetry_space_group_name_Hall 'P -4 -2'
loop_
_atom_site_label
_atom_site_type_symbol
_atom_site_fract_x
_atom_site_fract_y
_atom_site_fract_z
Nd1 Nd 0.0000 0.5000 0.2243
Pu1 Pu 0.0000 0.0000 0.5000
Ge1 Ge 0.0000 0.5000 0.8797
Ge2 Ge 0.5000 0.5000 0.5000
Pd1 Pd 0.0000 0.0000 0.0000
Pd2 Pd 0.0000 0.5000 0.6588
Pd3 Pd 0.5000 0.5000 0.0000